No. 1
# LaGd2Th, optimized geometry, DFT PBE
data_LaGd2Th
_chemical_formula_sum 'La4 Gd8 Th4'
_cell_length_a 8.137
_cell_length_b 8.137
_cell_length_c 8.137
_cell_angle_alpha 90.00
_cell_angle_beta 90.00
_cell_angle_gamma 90.00
_symmetry_space_group_name_H-M 'F m -3 m'
_symmetry_Int_Tables_number 225
_symmetry_space_group_name_Hall '-F 4 2 3'
loop_
_atom_site_label
_atom_site_type_symbol
_atom_site_fract_x
_atom_site_fract_y
_atom_site_fract_z
La1 La 0.000 0.000 0.000
Gd1 Gd 0.250 0.250 0.250
Th1 Th 0.000 0.000 0.500
# Total DFT energy (no corrections): -9.9794 eV/atom
# Energy relative to the lowest polymorph listed for this composition: 125 meV per atom
# M_tot: 14.937 μB per formula unit
# Energy of formation from the pure elements: 14.27 kJ per mole of atoms


No. 2
# La2GdTh, optimized geometry, DFT PBE
data_La2GdTh
_chemical_formula_sum 'La8 Gd4 Th4'
_cell_length_a 8.213
_cell_length_b 8.213
_cell_length_c 8.213
_cell_angle_alpha 90.00
_cell_angle_beta 90.00
_cell_angle_gamma 90.00
_symmetry_space_group_name_H-M 'F m -3 m'
_symmetry_Int_Tables_number 225
_symmetry_space_group_name_Hall '-F 4 2 3'
loop_
_atom_site_label
_atom_site_type_symbol
_atom_site_fract_x
_atom_site_fract_y
_atom_site_fract_z
La1 La 0.250 0.250 0.250
Gd1 Gd 0.000 0.000 0.000
Th1 Th 0.000 0.000 0.500
# Total DFT energy (no corrections): -7.6589 eV/atom
# Energy relative to the lowest polymorph listed for this composition: 151 meV per atom
# M_tot: 8.273 μB per formula unit
# Energy of formation from the pure elements: 17.37 kJ per mole of atoms


No. 3
# LaGd2Th, optimized geometry, DFT PBE
data_LaGd2Th
_chemical_formula_sum 'La1 Gd2 Th1'
_cell_length_a 5.116
_cell_length_b 5.116
_cell_length_c 5.084
_cell_angle_alpha 90.00
_cell_angle_beta 90.00
_cell_angle_gamma 90.00
_symmetry_space_group_name_H-M 'P 4/m m m'
_symmetry_Int_Tables_number 123
_symmetry_space_group_name_Hall '-P 4 2'
loop_
_atom_site_label
_atom_site_type_symbol
_atom_site_fract_x
_atom_site_fract_y
_atom_site_fract_z
La1 La 0.000 0.000 0.000
Gd1 Gd 0.000 0.500 0.500
Th1 Th 0.500 0.500 0.000
# Total DFT energy (no corrections): -10.0753 eV/atom
# Energy relative to the lowest polymorph listed for this composition: 29 meV per atom
# M_tot: 14.333 μB per formula unit
# Energy of formation from the pure elements: 5.01 kJ per mole of atoms


No. 4
# LaGdTh2, optimized geometry, DFT PBE
data_LaGdTh2
_chemical_formula_sum 'La1 Gd1 Th2'
_cell_length_a 5.054
_cell_length_b 5.054
_cell_length_c 5.158
_cell_angle_alpha 90.00
_cell_angle_beta 90.00
_cell_angle_gamma 90.00
_symmetry_space_group_name_H-M 'P 4/m m m'
_symmetry_Int_Tables_number 123
_symmetry_space_group_name_Hall '-P 4 2'
loop_
_atom_site_label
_atom_site_type_symbol
_atom_site_fract_x
_atom_site_fract_y
_atom_site_fract_z
La1 La 0.000 0.000 0.000
Gd1 Gd 0.500 0.500 0.000
Th1 Th 0.000 0.500 0.500
# Total DFT energy (no corrections): -8.3956 eV/atom
# Energy relative to the lowest polymorph listed for this composition: 0 meV per atom
# M_tot: 7.028 μB per formula unit
# Energy of formation from the pure elements: 6.41 kJ per mole of atoms


No. 5
# LaGd2Th, optimized geometry, DFT PBE
data_LaGd2Th
_chemical_formula_sum 'La1 Gd2 Th1'
_cell_length_a 3.599
_cell_length_b 3.599
_cell_length_c 10.330
_cell_angle_alpha 90.00
_cell_angle_beta 90.00
_cell_angle_gamma 90.00
_symmetry_space_group_name_H-M 'P 4/m m m'
_symmetry_Int_Tables_number 123
_symmetry_space_group_name_Hall '-P 4 2'
loop_
_atom_site_label
_atom_site_type_symbol
_atom_site_fract_x
_atom_site_fract_y
_atom_site_fract_z
La1 La 0.000 0.000 0.000
Gd1 Gd 0.500 0.500 0.265
Th1 Th 0.000 0.000 0.500
# Total DFT energy (no corrections): -10.1040 eV/atom
# Energy relative to the lowest polymorph listed for this composition: 0 meV per atom
# M_tot: 14.323 μB per formula unit
# Energy of formation from the pure elements: 2.25 kJ per mole of atoms


No. 6
# LaGdTh2, optimized geometry, DFT PBE
data_LaGdTh2
_chemical_formula_sum 'La1 Gd1 Th2'
_cell_length_a 3.564
_cell_length_b 3.564
_cell_length_c 10.376
_cell_angle_alpha 90.00
_cell_angle_beta 90.00
_cell_angle_gamma 90.00
_symmetry_space_group_name_H-M 'P 4/m m m'
_symmetry_Int_Tables_number 123
_symmetry_space_group_name_Hall '-P 4 2'
loop_
_atom_site_label
_atom_site_type_symbol
_atom_site_fract_x
_atom_site_fract_y
_atom_site_fract_z
La1 La 0.000 0.000 0.000
Gd1 Gd 0.000 0.000 0.500
Th1 Th 0.500 0.500 0.254
# Total DFT energy (no corrections): -8.3927 eV/atom
# Energy relative to the lowest polymorph listed for this composition: 3 meV per atom
# M_tot: 7.136 μB per formula unit
# Energy of formation from the pure elements: 6.69 kJ per mole of atoms


No. 7
# LaGdTh, optimized geometry, DFT PBE
data_LaGdTh
_chemical_formula_sum 'La1 Gd1 Th1'
_cell_length_a 3.6151
_cell_length_b 3.6151
_cell_length_c 8.9155
_cell_angle_alpha 90.00
_cell_angle_beta 90.00
_cell_angle_gamma 120.00
_symmetry_space_group_name_H-M 'P 3 m 1'
_symmetry_Int_Tables_number 156
_symmetry_space_group_name_Hall 'P 3 -2"'
loop_
_atom_site_label
_atom_site_type_symbol
_atom_site_fract_x
_atom_site_fract_y
_atom_site_fract_z
La1 La 0.0000 0.0000 0.0000
Gd1 Gd 0.6667 0.3333 0.3607
Th1 Th 0.3333 0.6667 0.6762
# Total DFT energy (no corrections): -8.7885 eV/atom
# M_tot: 7.601 μB per formula unit
# Energy of formation from the pure elements: 2.02 kJ per mole of atoms


No. 8
# LaGd4Th, optimized geometry, DFT PBE
data_LaGd4Th
_chemical_formula_sum 'La4 Gd16 Th4'
_cell_length_a 9.359
_cell_length_b 9.359
_cell_length_c 9.359
_cell_angle_alpha 90.00
_cell_angle_beta 90.00
_cell_angle_gamma 90.00
_symmetry_space_group_name_H-M 'F -4 3 m'
_symmetry_Int_Tables_number 216
_symmetry_space_group_name_Hall 'F -4 2 3'
loop_
_atom_site_label
_atom_site_type_symbol
_atom_site_fract_x
_atom_site_fract_y
_atom_site_fract_z
La1 La 0.000 0.000 0.000
Gd1 Gd 0.124 0.124 0.624
Th1 Th 0.250 0.250 0.250
# Total DFT energy (no corrections): -11.1579 eV/atom
# M_tot: 32.910 μB per formula unit
# Energy of formation from the pure elements: 27.72 kJ per mole of atoms


No. 9
# LaGdTmTh, optimized geometry, DFT PBE
data_LaGdTmTh
_chemical_formula_sum 'La4 Gd4 Tm4 Th4'
_cell_length_a 8.083
_cell_length_b 8.083
_cell_length_c 8.083
_cell_angle_alpha 90.00
_cell_angle_beta 90.00
_cell_angle_gamma 90.00
_symmetry_space_group_name_H-M 'F -4 3 m'
_symmetry_Int_Tables_number 216
_symmetry_space_group_name_Hall 'F -4 2 3'
loop_
_atom_site_label
_atom_site_type_symbol
_atom_site_fract_x
_atom_site_fract_y
_atom_site_fract_z
La1 La 0.000 0.000 0.000
Gd1 Gd 0.250 0.250 0.750
Tm1 Tm 0.250 0.250 0.250
Th1 Th 0.000 0.000 0.500
# Total DFT energy (no corrections): -7.6018 eV/atom
# M_tot: 7.370 μB per formula unit
# Energy of formation from the pure elements: 11.88 kJ per mole of atoms


No. 10
# LaGdYTh, optimized geometry, DFT PBE
data_LaGdYTh
_chemical_formula_sum 'La4 Gd4 Y4 Th4'
_cell_length_a 8.151
_cell_length_b 8.151
_cell_length_c 8.151
_cell_angle_alpha 90.00
_cell_angle_beta 90.00
_cell_angle_gamma 90.00
_symmetry_space_group_name_H-M 'F -4 3 m'
_symmetry_Int_Tables_number 216
_symmetry_space_group_name_Hall 'F -4 2 3'
loop_
_atom_site_label
_atom_site_type_symbol
_atom_site_fract_x
_atom_site_fract_y
_atom_site_fract_z
La1 La 0.000 0.000 0.000
Gd1 Gd 0.000 0.000 0.500
Y1 Y 0.250 0.250 0.250
Th1 Th 0.250 0.250 0.750
# Total DFT energy (no corrections): -8.0366 eV/atom
# M_tot: 9.279 μB per formula unit
# Energy of formation from the pure elements: 17.99 kJ per mole of atoms


No. 11
# LaGd2Ti, optimized geometry, DFT PBE
data_LaGd2Ti
_chemical_formula_sum 'La3 Gd6 Ti3'
_cell_length_a 3.4350
_cell_length_b 3.4350
_cell_length_c 33.8815
_cell_angle_alpha 90.00
_cell_angle_beta 90.00
_cell_angle_gamma 120.00
_symmetry_space_group_name_H-M 'R -3 m'
_symmetry_Int_Tables_number 166
_symmetry_space_group_name_Hall '-R 3 2"'
loop_
_atom_site_label
_atom_site_type_symbol
_atom_site_fract_x
_atom_site_fract_y
_atom_site_fract_z
La1 La 0.0000 0.0000 0.0000
Gd1 Gd 0.0000 0.0000 0.2399
Ti1 Ti 0.0000 0.0000 0.5000
# Total DFT energy (no corrections): -10.0285 eV/atom
# Energy relative to the lowest polymorph listed for this composition: 45 meV per atom
# M_tot: 14.017 μB per formula unit
# Energy of formation from the pure elements: 20.99 kJ per mole of atoms


No. 12
# LaGd2Ti, optimized geometry, DFT PBE
data_LaGd2Ti
_chemical_formula_sum 'La1 Gd2 Ti1'
_cell_length_a 3.415
_cell_length_b 3.415
_cell_length_c 10.014
_cell_angle_alpha 90.00
_cell_angle_beta 90.00
_cell_angle_gamma 90.00
_symmetry_space_group_name_H-M 'P 4/m m m'
_symmetry_Int_Tables_number 123
_symmetry_space_group_name_Hall '-P 4 2'
loop_
_atom_site_label
_atom_site_type_symbol
_atom_site_fract_x
_atom_site_fract_y
_atom_site_fract_z
La1 La 0.000 0.000 0.000
Gd1 Gd 0.500 0.500 0.290
Ti1 Ti 0.000 0.000 0.500
# Total DFT energy (no corrections): -10.0735 eV/atom
# Energy relative to the lowest polymorph listed for this composition: 0 meV per atom
# M_tot: 14.371 μB per formula unit
# Energy of formation from the pure elements: 16.65 kJ per mole of atoms


No. 13
# LaGdTl, optimized geometry, DFT PBE
data_LaGdTl
_chemical_formula_sum 'La1 Gd1 Tl1'
_cell_length_a 5.4829
_cell_length_b 5.4829
_cell_length_c 3.3730
_cell_angle_alpha 90.00
_cell_angle_beta 90.00
_cell_angle_gamma 120.00
_symmetry_space_group_name_H-M 'P 3 m 1'
_symmetry_Int_Tables_number 156
_symmetry_space_group_name_Hall 'P 3 -2"'
loop_
_atom_site_label
_atom_site_type_symbol
_atom_site_fract_x
_atom_site_fract_y
_atom_site_fract_z
La1 La 0.0000 0.0000 0.0000
Gd1 Gd 0.3333 0.6667 0.9959
Tl1 Tl 0.6667 0.3333 0.4977
# Total DFT energy (no corrections): -7.1890 eV/atom
# Energy relative to the lowest polymorph listed for this composition: 184 meV per atom
# M_tot: 7.794 μB per formula unit
# Energy of formation from the pure elements: -6.19 kJ per mole of atoms


No. 14
# LaGdTl, optimized geometry, DFT PBE
data_LaGdTl
_chemical_formula_sum 'La4 Gd4 Tl4'
_cell_length_a 7.565
_cell_length_b 7.565
_cell_length_c 7.565
_cell_angle_alpha 90.00
_cell_angle_beta 90.00
_cell_angle_gamma 90.00
_symmetry_space_group_name_H-M 'F -4 3 m'
_symmetry_Int_Tables_number 216
_symmetry_space_group_name_Hall 'F -4 2 3'
loop_
_atom_site_label
_atom_site_type_symbol
_atom_site_fract_x
_atom_site_fract_y
_atom_site_fract_z
La1 La 0.000 0.000 0.000
Gd1 Gd 0.000 0.000 0.500
Tl1 Tl 0.250 0.250 0.750
# Total DFT energy (no corrections): -7.2298 eV/atom
# Energy relative to the lowest polymorph listed for this composition: 143 meV per atom
# M_tot: 8.281 μB per formula unit
# Energy of formation from the pure elements: -10.12 kJ per mole of atoms


No. 15
# LaGd2Tl, optimized geometry, DFT PBE
data_LaGd2Tl
_chemical_formula_sum 'La1 Gd2 Tl1'
_cell_length_a 4.979
_cell_length_b 4.979
_cell_length_c 4.907
_cell_angle_alpha 90.00
_cell_angle_beta 90.00
_cell_angle_gamma 90.00
_symmetry_space_group_name_H-M 'P 4/m m m'
_symmetry_Int_Tables_number 123
_symmetry_space_group_name_Hall '-P 4 2'
loop_
_atom_site_label
_atom_site_type_symbol
_atom_site_fract_x
_atom_site_fract_y
_atom_site_fract_z
La1 La 0.000 0.000 0.000
Gd1 Gd 0.000 0.500 0.500
Tl1 Tl 0.500 0.500 0.000
# Total DFT energy (no corrections): -9.0906 eV/atom
# Energy relative to the lowest polymorph listed for this composition: 0 meV per atom
# M_tot: 15.557 μB per formula unit
# Energy of formation from the pure elements: -21.88 kJ per mole of atoms